No. 1
The following is a DFT calculation (PBE) of a relaxed MnMoPt2 crystal.

Calculated values
Spin magnetization: 0.89 μB per atom
Uncorrected energy: -8.18 eV per atom
Mass density: 14781 kg/m³

Cell: 9.120 9.120 9.120 Å, 17.64 17.64 17.64°
Site moments in Bohr magnetons follow the coordinates.
Element x y z (fractional)
Mn1 0.250 0.250 0.250  3.45
Pt1 0.998 0.998 0.998  0.08
Pt2 0.502 0.502 0.502  0.08
Mo1 0.750 0.750 0.750  -0.14



No. 2
The following is a DFT calculation (PBE) of a relaxed Mn2Mo2Pt3 crystal.

Calculated values
Spin magnetization: 0.92 μB per atom
Uncorrected energy: -8.39 eV per atom
Mass density: 13766 kg/m³

Cell: 4.212 2.757 9.452 Å, 90.00 77.13 90.00°
Site moments in Bohr magnetons follow the coordinates.
Element x y z (fractional)
Pt1 0.148 0.000 0.703  0.02
Pt2 0.852 0.000 0.297  0.02
Pt3 0.000 0.000 0.000  0.16
Mn1 0.429 0.500 0.143  3.33
Mn2 0.571 0.500 0.857  3.33
Mo1 0.711 0.500 0.578  -0.29
Mo2 0.289 0.500 0.422  -0.29



No. 3
The following is a DFT calculation (PBE) of a relaxed Mn3MoPt4 crystal.

Calculated values
Spin magnetization: 1.60 μB per atom
Uncorrected energy: -8.14 eV per atom
Mass density: 14275 kg/m³

Cell: 2.850 2.850 14.913 Å, 90.00 90.00 90.00°
Site moments in Bohr magnetons follow the coordinates.
Element x y z (fractional)
Pt1 0.000 0.000 0.129  0.19
Pt2 0.000 0.000 0.378  0.35
Pt3 0.000 0.000 0.871  0.19
Pt4 0.000 0.000 0.622  0.35
Mn1 0.500 0.500 0.500  3.77
Mn2 0.500 0.500 0.744  3.78
Mn3 0.500 0.500 0.256  3.78
Mo1 0.500 0.500 0.000  0.00



No. 4
The following is a DFT calculation (PBE) of a relaxed MnMoPt2 crystal.

Calculated values
Spin magnetization: 0.57 μB per atom
Uncorrected energy: -8.33 eV per atom
Mass density: 15072 kg/m³

Cell: 4.822 4.822 4.822 Å, 132.59 132.60 69.29°
Site moments in Bohr magnetons follow the coordinates.
Element x y z (fractional)
Mo1 0.250 0.750 0.500  -0.92
Pt1 0.500 0.500 0.000  0.04
Pt2 0.000 0.000 0.000  0.04
Mn1 0.750 0.250 0.500  3.12



No. 5
The following is a DFT calculation (PBE) of a relaxed MnMoPt2 crystal.

Calculated values
Spin magnetization: 0.75 μB per atom
Uncorrected energy: -8.17 eV per atom
Mass density: 14910 kg/m³

Cell: 4.803 4.803 4.787 Å, 80.07 80.07 33.70°
Site moments in Bohr magnetons follow the coordinates.
Element x y z (fractional)
Mn1 0.750 0.750 0.750  3.21
Pt1 0.498 0.498 0.500  0.09
Pt2 0.002 0.002 0.000  0.09
Mo1 0.250 0.250 0.250  -0.49



No. 6
The following is a DFT calculation (PBE) of a relaxed MnMoPt2 crystal.

Calculated values
Spin magnetization: 0.00 μB per atom
Uncorrected energy: -7.74 eV per atom
Mass density: 15043 kg/m³

Cell: 4.388 4.388 4.388 Å, 60.00 60.00 60.00°
Element x y z (fractional)
Mn1 0.000 0.000 0.000
Pt1 0.750 0.750 0.750
Pt2 0.250 0.250 0.250
Mo1 0.500 0.500 0.500



No. 7
The following is a DFT calculation (PBE) of a relaxed Mn2MoPt8 crystal.

Calculated values
Spin magnetization: 0.59 μB per atom
Uncorrected energy: -7.20 eV per atom
Mass density: 16809 kg/m³

Cell: 4.026 6.711 6.711 Å, 105.73 90.01 90.01°
Site moments in Bohr magnetons follow the coordinates.
Element x y z (fractional)
Pt1 0.000 0.305 0.043  -0.04
Pt2 0.000 0.043 0.305  -0.04
Pt3 0.000 0.957 0.695  -0.04
Pt4 0.000 0.695 0.957  -0.04
Pt5 0.500 0.665 0.665  0.00
Pt6 0.500 0.247 0.753  0.05
Pt7 0.500 0.335 0.335  0.00
Pt8 0.500 0.753 0.247  0.05
Mn1 0.000 0.621 0.379  3.27
Mn2 0.000 0.379 0.621  3.27
Mo1 0.500 0.000 0.000  -0.27



No. 8
The following is a DFT calculation (PBE) of a relaxed MnMoPt2 crystal.

Calculated values
Spin magnetization: 0.72 μB per atom
Uncorrected energy: -8.07 eV per atom
Mass density: 14814 kg/m³

Cell: 4.410 4.410 4.410 Å, 60.00 60.00 60.00°
Site moments in Bohr magnetons follow the coordinates.
Element x y z (fractional)
Pt1 0.000 0.000 0.000  0.04
Pt2 0.750 0.750 0.750  0.13
Mn1 0.500 0.500 0.500  3.11
Mo1 0.250 0.250 0.250  -0.48



No. 9
The following is a DFT calculation (PBE) of a relaxed MnMoPt2 crystal.

Calculated values
Spin magnetization: 0.84 μB per atom
Uncorrected energy: -8.20 eV per atom
Mass density: 14875 kg/m³

Cell: 2.753 2.753 7.967 Å, 90.00 90.00 90.03°
Site moments in Bohr magnetons follow the coordinates.
Element x y z (fractional)
Pt1 0.000 0.000 0.992  0.00
Pt2 0.500 0.500 0.263  0.11
Mn1 0.000 0.000 0.498  3.20
Mo1 0.500 0.500 0.746  -0.05



No. 10
The following is a DFT calculation (PBE) of a relaxed MnMoPt6 crystal.

Calculated values
Spin magnetization: 0.70 μB per atom
Uncorrected energy: -7.35 eV per atom
Mass density: 17752 kg/m³

Cell: 3.958 3.958 7.890 Å, 90.00 90.00 90.00°
Site moments in Bohr magnetons follow the coordinates.
Element x y z (fractional)
Pt1 0.500 0.500 0.000  0.18
Pt2 0.500 0.000 0.254  0.11
Pt3 0.000 0.500 0.746  0.11
Pt4 0.500 0.500 0.500  0.07
Pt5 0.500 0.000 0.746  0.11
Pt6 0.000 0.500 0.254  0.11
Mo1 0.000 0.000 0.500  0.73
Mn1 0.000 0.000 0.000  3.96



No. 11
The following is a DFT calculation (PBE) of a relaxed MnMoPt2 crystal.

Calculated values
Spin magnetization: 1.03 μB per atom
Uncorrected energy: -8.35 eV per atom
Mass density: 14777 kg/m³

Cell: 2.793 2.793 7.795 Å, 90.00 90.00 90.02°
Site moments in Bohr magnetons follow the coordinates.
Element x y z (fractional)
Mn1 0.500 0.500 0.250  3.74
Pt1 0.000 0.000 0.003  0.15
Pt2 0.000 0.000 0.497  0.15
Mo1 0.500 0.500 0.750  -0.05



No. 12
The following is a DFT calculation (PBE) of a relaxed MnMoPt2 crystal.

Calculated values
Spin magnetization: 0.58 μB per atom
Uncorrected energy: -8.26 eV per atom
Mass density: 15066 kg/m³

Cell: 4.789 4.789 4.790 Å, 131.90 131.91 70.35°
Site moments in Bohr magnetons follow the coordinates.
Element x y z (fractional)
Pt1 0.000 0.000 0.000  0.12
Pt2 0.750 0.250 0.500  0.10
Mo1 0.250 0.750 0.500  -0.86
Mn1 0.500 0.500 0.000  2.92



No. 13
The following is a DFT calculation (PBE) of a relaxed MnMoPt2 crystal.

Calculated values
Spin magnetization: 0.79 μB per atom
Uncorrected energy: -8.27 eV per atom
Mass density: 14846 kg/m³

Cell: 4.795 4.795 4.836 Å, 79.84 79.84 33.62°
Site moments in Bohr magnetons follow the coordinates.
Element x y z (fractional)
Mo1 0.246 0.246 0.235  -0.43
Pt1 0.754 0.754 0.730  0.08
Pt2 0.997 0.997 0.021  0.10
Mn1 0.502 0.502 0.513  3.34



No. 14
The following is a DFT calculation (PBE) of a relaxed MnMoPt2 crystal.

Calculated values
Spin magnetization: 0.58 μB per atom
Uncorrected energy: -8.13 eV per atom
Mass density: 14721 kg/m³

Cell: 3.309 3.309 5.573 Å, 90.00 90.00 90.00°
Site moments in Bohr magnetons follow the coordinates.
Element x y z (fractional)
Mn1 0.000 0.000 0.492  3.02
Pt1 0.500 0.500 0.268  0.09
Pt2 0.000 0.000 0.989  -0.06
Mo1 0.500 0.500 0.751  -0.72



No. 15
The following is a DFT calculation (PBE) of a relaxed MnMoPt2 crystal.

Calculated values
Spin magnetization: 0.26 μB per atom
Uncorrected energy: -8.28 eV per atom
Mass density: 15040 kg/m³

Cell: 3.980 3.874 3.874 Å, 90.00 90.00 90.00°
Site moments in Bohr magnetons follow the coordinates.
Element x y z (fractional)
Pt1 0.000 0.500 0.500  -0.07
Pt2 0.000 0.000 0.000  -0.07
Mo1 0.500 0.000 0.500  -1.61
Mn1 0.500 0.500 0.000  2.88



No. 16
The following is a DFT calculation (PBE) of a relaxed MnMoPt2 crystal.

Calculated values
Spin magnetization: 0.00 μB per atom
Uncorrected energy: -7.72 eV per atom
Mass density: 14345 kg/m³

Cell: 3.723 3.723 9.413 Å, 78.59 78.59 90.00°
Element x y z (fractional)
Mo1 0.750 0.250 0.500
Mo2 0.000 0.000 0.000
Pt1 0.616 0.125 0.250
Pt2 0.134 0.625 0.250
Pt3 0.875 0.866 0.750
Pt4 0.375 0.384 0.750
Mn1 0.500 0.500 0.000
Mn2 0.250 0.750 0.500



No. 17
The following is a DFT calculation (PBE) of a relaxed Mn3MoPt crystal.

Calculated values
Spin magnetization: 1.57 μB per atom
Uncorrected energy: -7.59 eV per atom
Mass density: 8333 kg/m³

Cell: 4.495 4.495 4.495 Å, 90.00 90.00 90.00°
Site moments in Bohr magnetons follow the coordinates.
Element x y z (fractional)
Mo1 0.000 0.000 0.000  -1.04
Mn1 0.000 0.000 0.500  2.63
Mn2 0.000 0.500 0.000  2.87
Mn3 0.500 0.000 0.000  3.04
Pt1 0.500 0.500 0.500  0.04



No. 18
The following is a DFT calculation (PBE) of a relaxed MnMoPt2 crystal.

Calculated values
Spin magnetization: 0.71 μB per atom
Uncorrected energy: -8.11 eV per atom
Mass density: 14948 kg/m³

Cell: 9.246 9.246 9.246 Å, 17.17 17.17 17.17°
Site moments in Bohr magnetons follow the coordinates.
Element x y z (fractional)
Mo1 0.752 0.752 0.752  -0.17
Pt1 0.245 0.245 0.245  0.17
Pt2 0.002 0.002 0.002  -0.05
Mn1 0.500 0.500 0.500  2.82



No. 19
The following is a DFT calculation (PBE) of a relaxed MnMoPt2 crystal.

Calculated values
Spin magnetization: 0.62 μB per atom
Uncorrected energy: -8.13 eV per atom
Mass density: 14892 kg/m³

Cell: 2.783 4.793 5.521 Å, 55.00 90.00 90.00°
Site moments in Bohr magnetons follow the coordinates.
Element x y z (fractional)
Pt1 0.000 0.000 0.000  0.05
Pt2 0.500 0.500 0.000  0.02
Mo1 0.000 0.000 0.500  -0.73
Mn1 0.500 0.500 0.500  3.09



No. 20
The following is a DFT calculation (PBE) of a relaxed MnMoPt2 crystal.

Calculated values
Spin magnetization: 0.77 μB per atom
Uncorrected energy: -8.29 eV per atom
Mass density: 14894 kg/m³

Cell: 6.163 4.822 2.769 Å, 90.08 63.17 120.63°
Site moments in Bohr magnetons follow the coordinates.
Element x y z (fractional)
Mn1 0.000 0.500 0.500  3.38
Pt1 0.000 0.000 0.000  0.07
Pt2 0.500 0.000 0.500  0.07
Mo1 0.500 0.500 0.000  -0.50



No. 21
The following is a DFT calculation (PBE) of a relaxed Mn2MoPtS crystal.

Calculated values
ΔE_f (raw): 0.37 eV per atom
Spin magnetization: 0.00 μB per atom
Uncorrected energy: -7.49 eV per atom
Mass density: 9859 kg/m³

Cell: 4.074 4.394 4.074 Å, 90.00 90.00 90.00°
Element x y z (fractional)
S1 0.000 0.000 0.000
Mn1 0.500 0.000 0.000
Mn2 0.000 0.000 0.500
Pt1 0.500 0.500 0.500
Mo1 0.000 0.500 0.000



No. 22
The following is a DFT calculation (PBE) of a relaxed TaMn2MoPt crystal.

Calculated values
Spin magnetization: 0.35 μB per atom
Uncorrected energy: -7.92 eV per atom
Mass density: 9554 kg/m³

Cell: 4.549 4.887 4.549 Å, 90.00 90.00 90.00°
Site moments in Bohr magnetons follow the coordinates.
Element x y z (fractional)
Mn1 0.500 0.000 0.000  3.09
Mn2 0.000 0.000 0.500  2.51
Pt1 0.000 0.500 0.000  -0.01
Mo1 0.500 0.500 0.500  -2.95
Ta1 0.000 0.000 0.000  -0.56



No. 23
The following is a DFT calculation (PBE) of a relaxed MnTcMoPt crystal.

Calculated values
Spin magnetization: 0.59 μB per atom
Uncorrected energy: -9.02 eV per atom
Mass density: 12359 kg/m³

Cell: 4.386 4.386 4.386 Å, 60.00 60.00 60.00°
Site moments in Bohr magnetons follow the coordinates.
Element x y z (fractional)
Pt1 0.250 0.250 0.250  -0.08
Tc1 0.000 0.000 0.000  -0.48
Mo1 0.750 0.750 0.750  -0.23
Mn1 0.500 0.500 0.500  3.09



No. 24
The following is a DFT calculation (PBE) of a relaxed MnZnMoPt crystal.

Calculated values
Spin magnetization: 0.51 μB per atom
Uncorrected energy: -6.94 eV per atom
Mass density: 11802 kg/m³

Cell: 4.342 4.342 4.342 Å, 60.00 60.00 60.00°
Site moments in Bohr magnetons follow the coordinates.
Element x y z (fractional)
Zn1 0.500 0.500 0.500  -0.02
Mo1 0.750 0.750 0.750  -1.09
Mn1 0.000 0.000 0.000  3.02
Pt1 0.250 0.250 0.250  0.12



No. 25
The following is a DFT calculation (PBE) of a relaxed Zr2MnMoPt crystal.

Calculated values
Spin magnetization: 0.00 μB per atom
Uncorrected energy: -8.24 eV per atom
Mass density: 8882 kg/m³

Cell: 4.783 4.783 4.317 Å, 90.00 90.00 90.00°
Element x y z (fractional)
Zr1 0.000 0.500 0.000
Zr2 0.500 0.000 0.000
Mo1 0.000 0.000 0.500
Mn1 0.000 0.000 0.000
Pt1 0.500 0.500 0.500



No. 26
The following is a DFT calculation (PBE) of a relaxed PuMn4Mo crystal.

Calculated values
Spin magnetization: 0.42 μB per atom
Uncorrected energy: -10.11 eV per atom
Mass density: 11232 kg/m³

Cell: 4.891 4.891 4.891 Å, 60.00 60.00 60.00°
Site moments in Bohr magnetons follow the coordinates.
Element x y z (fractional)
Mn1 0.624 0.624 0.127  -0.62
Mn2 0.127 0.624 0.624  -0.62
Mn3 0.624 0.127 0.624  -0.62
Mn4 0.624 0.624 0.624  -0.62
Mo1 0.250 0.250 0.250  0.23
Pu1 0.000 0.000 0.000  4.57



No. 27
The following is a DFT calculation (PBE) of a relaxed PuMn2Mo crystal.

Calculated values
Spin magnetization: 0.34 μB per atom
Uncorrected energy: -10.75 eV per atom
Mass density: 11611 kg/m³

Cell: 3.010 3.010 7.099 Å, 90.00 90.00 90.00°
Site moments in Bohr magnetons follow the coordinates.
Element x y z (fractional)
Mn1 0.000 0.000 0.790  -2.32
Mn2 0.000 0.000 0.210  -2.32
Pu1 0.500 0.500 0.500  5.16
Mo1 0.500 0.500 0.000  0.76



No. 28
The following is a DFT calculation (PBE) of a relaxed PuScMnMo crystal.

Calculated values
Spin magnetization: 0.40 μB per atom
Uncorrected energy: -10.03 eV per atom
Mass density: 10212 kg/m³

Cell: 4.659 4.659 4.659 Å, 60.00 60.00 60.00°
Site moments in Bohr magnetons follow the coordinates.
Element x y z (fractional)
Mo1 0.250 0.250 0.250  -0.61
Pu1 0.500 0.500 0.500  4.81
Mn1 0.750 0.750 0.750  -2.54
Sc1 0.000 0.000 0.000  -0.01



No. 29
The following is a DFT calculation (PBE) of a relaxed Rb2MnMo crystal.

Calculated values
Spin magnetization: 0.01 μB per atom
Uncorrected energy: -3.93 eV per atom
Mass density: 2839 kg/m³

Cell: 13.491 13.491 9.761 Å, 46.29 46.29 90.00°
Element x y z (fractional)
Rb1 0.312 0.625 0.250
Rb2 0.375 0.562 0.750
Rb3 0.438 0.125 0.250
Rb4 0.875 0.688 0.750
Mo1 0.750 0.250 0.500
Mo2 0.000 0.000 0.000
Mn1 0.500 0.500 0.000
Mn2 0.250 0.750 0.500